1.
Density functional theory data (PBE-GGA) for crystalline KRhSe2 at its relaxed geometry.

Output
- ΔE_f (raw): -0.686 eV per atom

a = 3.8451 Å, b = 5.0120 Å, c = 10.0211 Å
α = 90.00°, β = 90.08°, γ = 90.00°
With the nearest neighbours (Å) after each atom.
Space group P2_1/m (No. 11)
Asymmetric unit:
K: 0.2486 0.2500 0.1317 [2 per cell]  6 Se 3.25-3.48, 2 Rh 3.56
Rh: 0.2492 0.7500 0.3844 [2 per cell]  6 Se 2.50-2.61
Se: 0.2495 0.2500 0.4561 [2 per cell]  4 Rh 2.50-2.61
Se: 0.2508 0.2500 0.7845 [2 per cell]  2 Rh 2.56



2.
Density functional theory data (PBE-GGA) for crystalline Ga3SeI at its relaxed geometry.

Output
- Energy above the most stable polymorph in this dataset: 436 meV per atom
- ΔE_f (raw): 0.519 eV per atom

a = 5.9344 Å, b = 5.9344 Å, c = 5.9344 Å
α = 90.00°, β = 90.00°, γ = 90.00°
With the nearest neighbours (Å) after each atom.
Space group Pm-3m (No. 221)
Asymmetric unit:
Ga: 0.0000 0.0000 0.5000 [3 per cell]  2 I 2.97
Se: 0.5000 0.5000 0.5000 [1 per cell]  12 Ga 4.20
I: 0.0000 0.0000 0.0000 [1 per cell]  6 Ga 2.97



3.
Density functional theory data (PBE-GGA) for crystalline MgZrZn2 at its relaxed geometry.

Output
- Calculated formation energy: 0.1823 eV/atom

a = 7.2989 Å, b = 7.2989 Å, c = 6.0528 Å
α = 90.00°, β = 90.00°, γ = 90.00°
With the nearest neighbours (Å) after each atom.
Space group I-42d (No. 122)
Asymmetric unit:
Mg: 0.0000 0.0000 0.0000 [4 per cell]  4 Zn 2.64
Zr: 0.0000 0.0000 0.5000 [4 per cell]  4 Zn 2.74, 2 Mg 3.03
Zn: 0.2393 0.2500 0.1250 [8 per cell]  2 Mg 2.64, 2 Zr 2.74



4.
Density functional theory data (PBE-GGA) for crystalline Pm8Hg2Pt at its relaxed geometry.

Output
- Calculated formation energy: -0.3606 eV/atom
- Energy above the most stable polymorph in this dataset: 0 meV per atom

a = 18.4734 Å, b = 5.2376 Å, c = 6.9844 Å
α = 90.00°, β = 101.13°, γ = 90.00°
With the nearest neighbours (Å) after each atom.
Space group C2/m (No. 12)
Asymmetric unit:
Pm: 0.0214 0.0000 0.2735 [4 per cell]  2 Pt 3.12, 1 Hg 3.15, 3 Pm 3.41-3.48
Pm: 0.0888 0.5000 0.9448 [4 per cell]  1 Pt 3.22, 5 Pm 3.48-3.58
Pm: 0.1538 0.5000 0.4698 [4 per cell]  1 Pt 2.89, 3 Hg 3.18-3.19
Pm: 0.2034 0.0000 0.8188 [4 per cell]  3 Hg 3.04-3.36
Hg: 0.1897 0.0000 0.2455 [4 per cell]  7 Pm 3.04-3.36
Pt: 0.0000 0.5000 0.5000 [2 per cell]  8 Pm 2.89-3.22



5.
Density functional theory data (PBE-GGA) for crystalline SnAsBr2N at its relaxed geometry.

Output
- Energy above the most stable polymorph in this dataset: 0 meV per atom
- ΔE_f (raw): 0.794 eV per atom

a = 4.5923 Å, b = 4.5923 Å, c = 4.9289 Å
α = 90.00°, β = 90.00°, γ = 90.00°
With the nearest neighbours (Å) after each atom.
Space group P4/mmm (No. 123)
Asymmetric unit:
Sn: 0.0000 0.0000 0.0000 [1 per cell]  4 As 3.25, 8 Br 3.37
As: 0.5000 0.5000 0.0000 [1 per cell]  2 N 2.46
Br: 0.0000 0.5000 0.5000 [2 per cell]  2 N 2.30
N: 0.5000 0.5000 0.5000 [1 per cell]  4 Br 2.30, 2 As 2.46



6.
Density functional theory data (PBE-GGA) for crystalline Pm3SmSe4 at its relaxed geometry.

Output
- Energy above the most stable polymorph in this dataset: 0 meV per atom
- ΔE_f (raw): -1.833 eV per atom

a = 7.2921 Å, b = 8.2978 Å, c = 7.2851 Å
α = 90.00°, β = 109.25°, γ = 90.00°
With the nearest neighbours (Å) after each atom.
Space group P2/c (No. 13)
Asymmetric unit:
Pm: 0.0000 0.1247 0.2500 [2 per cell]  6 Se 2.97
Pm: 0.0000 0.3745 0.7500 [2 per cell]  6 Se 2.96-2.98
Pm: 0.5000 0.1249 0.7500 [2 per cell]  6 Se 2.96-2.97
Sm: 0.5000 0.3747 0.2500 [2 per cell]  6 Se 2.95-2.96
Se: 0.2508 0.1257 0.0009 [4 per cell]  1 Sm 2.95, 5 Pm 2.96-2.97
Se: 0.2513 0.3758 0.4998 [4 per cell]  2 Sm 2.95-2.96, 4 Pm 2.96-2.98



7.
Density functional theory data (PBE-GGA) for crystalline Ta2CdTcIr at its relaxed geometry.

Output
- Calculated formation energy: 1.1672 eV/atom

a = 4.7876 Å, b = 4.7876 Å, c = 4.7793 Å
α = 90.00°, β = 90.00°, γ = 90.00°
With the nearest neighbours (Å) after each atom.
Space group P4/mmm (No. 123)
Asymmetric unit:
Ta: 0.0000 0.5000 0.0000 [2 per cell]  2 Tc 2.39
Cd: 0.0000 0.0000 0.5000 [1 per cell]  8 Ta 3.38, 4 Ir 3.39
Tc: 0.5000 0.5000 0.0000 [1 per cell]  2 Ir 2.39, 4 Ta 2.39
Ir: 0.5000 0.5000 0.5000 [1 per cell]  2 Tc 2.39



8.
Density functional theory data (PBE-GGA) for crystalline YOs2Au at its relaxed geometry.

Output
- Calculated formation energy: 0.6580 eV/atom
- Energy above the most stable polymorph in this dataset: 589 meV per atom

a = 3.2449 Å, b = 4.6654 Å, c = 9.2726 Å
α = 90.00°, β = 90.00°, γ = 90.00°
With the nearest neighbours (Å) after each atom.
Space group Cmmm (No. 65)
Asymmetric unit:
Y: 0.0000 0.0000 0.0000 [2 per cell]  4 Y 2.84, 4 Os 2.85
Os: 0.0000 0.5000 0.2521 [4 per cell]  2 Au 2.81, 4 Os 2.84, 2 Y 2.85
Au: 0.0000 0.0000 0.5000 [2 per cell]  4 Os 2.81, 4 Au 2.84



9.
Density functional theory data (PBE-GGA) for crystalline KTc2Ru at its relaxed geometry.

Output
- Calculated formation energy: 0.8174 eV/atom
- Energy above the most stable polymorph in this dataset: 69 meV per atom

a = 2.7306 Å, b = 2.7306 Å, c = 9.7943 Å
α = 90.00°, β = 90.00°, γ = 90.00°
With the nearest neighbours (Å) after each atom.
Space group P4/mmm (No. 123)
Asymmetric unit:
K: 0.0000 0.0000 0.0000 [1 per cell]  4 K 2.73
Tc: 0.5000 0.5000 0.3090 [2 per cell]  4 Ru 2.69, 4 Tc 2.73
Ru: 0.0000 0.0000 0.5000 [1 per cell]  8 Tc 2.69, 4 Ru 2.73



10.
Density functional theory data (PBE-GGA) for crystalline Y2ReBr at its relaxed geometry.

Output
- Energy above the most stable polymorph in this dataset: 816 meV per atom
- ΔE_f (raw): 0.334 eV per atom

a = 3.3500 Å, b = 3.3500 Å, c = 9.9008 Å
α = 90.00°, β = 90.00°, γ = 90.00°
With the nearest neighbours (Å) after each atom.
Space group P4mm (No. 99)
Asymmetric unit:
Y: 0.0000 0.0000 0.0000 [1 per cell]  4 Re 2.94
Y: 0.5000 0.5000 0.3088 [1 per cell]  4 Br 2.96
Re: 0.5000 0.5000 0.8244 [1 per cell]  4 Y 2.94
Br: 0.0000 0.0000 0.4883 [1 per cell]  4 Y 2.96